The following is a PBE-GGA calculation of NdY2Pb9 after structural relaxation, from Alexandria.

Cell lengths 4.906, 4.906, 14.693 Å; angles 90.00, 90.00, 90.00 degrees
Sites, in units of the cell vectors:
Nd  0.000  0.000  0.000
Y  0.000  0.000  0.334
Y  0.000  0.000  0.666
Pb  0.000  0.500  0.170
Pb  0.000  0.500  0.500
Pb  0.000  0.500  0.830
Pb  0.500  0.000  0.170
Pb  0.500  0.000  0.500
Pb  0.500  0.000  0.830
Pb  0.500  0.500  0.000
Pb  0.500  0.500  0.335
Pb  0.500  0.500  0.665

Its space group is No. 123.

---

The following is a PBE-GGA calculation of Nd3YPb3 after structural relaxation, from Alexandria.

Cell lengths 9.721, 9.721, 6.381 Å; angles 90.00, 90.00, 120.00 degrees
Sites, in units of the cell vectors:
Nd  0.029  0.337  0.250
Nd  0.308  0.971  0.250
Nd  0.337  0.308  0.750
Nd  0.663  0.692  0.250
Nd  0.692  0.029  0.750
Nd  0.971  0.663  0.750
Y  0.333  0.667  0.750
Y  0.667  0.333  0.250
Pb  0.011  0.346  0.750
Pb  0.335  0.989  0.750
Pb  0.346  0.335  0.250
Pb  0.654  0.665  0.750
Pb  0.665  0.011  0.250
Pb  0.989  0.654  0.250

Its space group is No. 176.

---

The following is a PBE-GGA calculation of NdYPb after structural relaxation, from Alexandria.

Cell lengths 9.162, 9.162, 9.162 Å; angles 33.39, 33.39, 33.39 degrees
Sites, in units of the cell vectors:
Nd  0.126  0.126  0.126
Nd  0.874  0.874  0.874
Y  0.376  0.376  0.376
Y  0.624  0.624  0.624
Pb  0.254  0.254  0.254
Pb  0.746  0.746  0.746

Its space group is No. 166.

---

The following is a PBE-GGA calculation of NdYPb after structural relaxation, from Alexandria.

Cell lengths 5.258, 5.258, 4.000 Å; angles 90.00, 90.00, 120.00 degrees
Sites, in units of the cell vectors:
Nd  0.000  0.000  0.000
Y  0.667  0.333  0.539
Pb  0.333  0.667  0.368

Its space group is No. 156.

---

The following is a PBE-GGA calculation of Nd5YPb4 after structural relaxation, from Alexandria.

Cell lengths 8.852, 8.852, 7.359 Å; angles 90.55, 90.55, 36.17 degrees
Sites, in units of the cell vectors:
Nd  0.000  0.000  0.000
Nd  0.333  0.333  0.493
Nd  0.334  0.334  0.004
Nd  0.666  0.666  0.996
Nd  0.667  0.667  0.507
Y  0.000  0.000  0.500
Pb  0.174  0.174  0.748
Pb  0.492  0.492  0.745
Pb  0.508  0.508  0.255
Pb  0.826  0.826  0.252

Its space group is No. 12.

---

The following is a PBE-GGA calculation of NdY2Pb after structural relaxation, from Alexandria.

Cell lengths 3.850, 3.850, 8.469 Å; angles 90.00, 90.00, 90.00 degrees
Sites, in units of the cell vectors:
Nd  0.000  0.000  0.000
Y  0.500  0.500  0.279
Y  0.500  0.500  0.721
Pb  0.000  0.000  0.500

The value obtained for the energy relative to the lowest polymorph listed for this composition is 0.1046 eV/atom. Its space group is No. 123.

---

The following is a PBE-GGA calculation of NdYPb after structural relaxation, from Alexandria.

Cell lengths 3.651, 3.651, 14.216 Å; angles 90.00, 90.00, 90.15 degrees
Sites, in units of the cell vectors:
Nd  0.250  0.750  0.899
Nd  0.750  0.250  0.101
Y  0.250  0.750  0.589
Y  0.750  0.250  0.411
Pb  0.250  0.750  0.259
Pb  0.750  0.250  0.741

Its space group is No. 67.

---

The following is a PBE-GGA calculation of NdY3Pb3 after structural relaxation, from Alexandria.

Cell lengths 9.321, 9.321, 5.610 Å; angles 90.00, 90.00, 120.00 degrees
Sites, in units of the cell vectors:
Nd  0.333  0.667  0.250
Nd  0.667  0.333  0.750
Y  0.006  0.769  0.250
Y  0.231  0.237  0.250
Y  0.237  0.006  0.750
Y  0.763  0.994  0.250
Y  0.769  0.763  0.750
Y  0.994  0.231  0.750
Pb  0.076  0.626  0.750
Pb  0.374  0.450  0.750
Pb  0.450  0.076  0.250
Pb  0.550  0.924  0.750
Pb  0.626  0.550  0.250
Pb  0.924  0.374  0.250

Its space group is No. 176.

---

The following is a PBE-GGA calculation of Nd2YPb after structural relaxation, from Alexandria.

Cell lengths 4.906, 4.906, 5.067 Å; angles 90.00, 90.00, 90.00 degrees
Sites, in units of the cell vectors:
Nd  0.000  0.500  0.000
Nd  0.500  0.000  0.000
Y  0.000  0.000  0.500
Pb  0.500  0.500  0.500

The value obtained for the energy relative to the lowest polymorph listed for this composition is 0.0000 eV/atom. Its space group is No. 123.

---

The following is a PBE-GGA calculation of Nd2YPb2 after structural relaxation, from Alexandria.

Cell lengths 10.217, 9.006, 7.265 Å; angles 90.00, 90.00, 90.00 degrees
Sites, in units of the cell vectors:
Nd  0.091  0.250  0.000
Nd  0.091  0.250  0.500
Nd  0.320  0.750  0.000
Nd  0.320  0.750  0.500
Nd  0.680  0.250  0.000
Nd  0.680  0.250  0.500
Nd  0.909  0.750  0.000
Nd  0.909  0.750  0.500
Y  0.388  0.091  0.251
Y  0.388  0.409  0.751
Y  0.612  0.591  0.249
Y  0.612  0.909  0.749
Pb  0.114  0.556  0.750
Pb  0.114  0.944  0.250
Pb  0.346  0.073  0.750
Pb  0.346  0.427  0.250
Pb  0.654  0.573  0.750
Pb  0.654  0.927  0.250
Pb  0.886  0.056  0.750
Pb  0.886  0.444  0.250

The value obtained for the energy relative to the lowest polymorph listed for this composition is 0.1385 eV/atom. Its space group is No. 14.

---

The following is a PBE-GGA calculation of Nd2YPb after structural relaxation, from Alexandria.

Cell lengths 12.525, 12.525, 12.525 Å; angles 16.57, 16.57, 16.57 degrees
Sites, in units of the cell vectors:
Nd  0.088  0.088  0.088
Nd  0.912  0.912  0.912
Y  0.500  0.500  0.500
Pb  0.000  0.000  0.000

The value obtained for the energy relative to the lowest polymorph listed for this composition is 0.3628 eV/atom. Its space group is No. 166.

---

The following is a PBE-GGA calculation of Nd2YPb after structural relaxation, from Alexandria.

Cell lengths 11.490, 11.490, 11.490 Å; angles 18.43, 18.43, 18.43 degrees
Sites, in units of the cell vectors:
Nd  0.000  0.000  0.000
Nd  0.172  0.172  0.172
Y  0.753  0.753  0.753
Pb  0.586  0.586  0.586

The value obtained for the energy relative to the lowest polymorph listed for this composition is 0.1725 eV/atom. Its space group is No. 160.

---

The following is a PBE-GGA calculation of NdY2Pb after structural relaxation, from Alexandria.

Cell lengths 11.274, 11.274, 11.274 Å; angles 18.59, 18.59, 18.59 degrees
Sites, in units of the cell vectors:
Nd  0.000  0.000  0.000
Y  0.245  0.245  0.245
Y  0.422  0.422  0.422
Pb  0.833  0.833  0.833

The value obtained for the energy relative to the lowest polymorph listed for this composition is 0.1503 eV/atom. Its space group is No. 160.

---

The following is a PBE-GGA calculation of NdY2Pb after structural relaxation, from Alexandria.

Cell lengths 4.953, 4.953, 4.861 Å; angles 90.00, 90.00, 90.00 degrees
Sites, in units of the cell vectors:
Nd  0.000  0.000  0.000
Y  0.000  0.500  0.500
Y  0.500  0.000  0.500
Pb  0.500  0.500  0.000

The value obtained for the energy relative to the lowest polymorph listed for this composition is 0.0175 eV/atom. Its space group is No. 123.

---

The following is a PBE-GGA calculation of Nd3Y2Pb3 after structural relaxation, from Alexandria.

Cell lengths 9.275, 9.275, 6.771 Å; angles 90.00, 90.00, 120.00 degrees
Sites, in units of the cell vectors:
Nd  0.000  0.240  0.250
Nd  0.000  0.760  0.750
Nd  0.240  0.000  0.250
Nd  0.240  0.240  0.750
Nd  0.760  0.000  0.750
Nd  0.760  0.760  0.250
Y  0.333  0.667  0.000
Y  0.333  0.667  0.500
Y  0.667  0.333  0.000
Y  0.667  0.333  0.500
Pb  0.000  0.397  0.750
Pb  0.000  0.603  0.250
Pb  0.397  0.000  0.750
Pb  0.397  0.397  0.250
Pb  0.603  0.000  0.250
Pb  0.603  0.603  0.750

Its space group is No. 193.

---

The following is a PBE-GGA calculation of NdY5Pb4 after structural relaxation, from Alexandria.

Cell lengths 9.349, 9.349, 8.026 Å; angles 102.06, 102.06, 28.50 degrees
Sites, in units of the cell vectors:
Nd  0.000  0.000  0.000
Y  0.000  0.000  0.500
Y  0.292  0.292  0.688
Y  0.360  0.360  0.271
Y  0.640  0.640  0.729
Y  0.708  0.708  0.312
Pb  0.185  0.185  0.017
Pb  0.462  0.462  0.717
Pb  0.538  0.538  0.283
Pb  0.815  0.815  0.983

Its space group is No. 12.

---

The following is a PBE-GGA calculation of NdY2Pb after structural relaxation, from Alexandria.

Cell lengths 4.707, 4.779, 11.680 Å; angles 90.00, 101.59, 90.00 degrees
Sites, in units of the cell vectors:
Nd  0.192  0.250  0.385
Nd  0.808  0.750  0.615
Y  0.058  0.750  0.116
Y  0.437  0.750  0.873
Y  0.563  0.250  0.127
Y  0.942  0.250  0.884
Pb  0.337  0.250  0.672
Pb  0.663  0.750  0.328

The value obtained for the energy relative to the lowest polymorph listed for this composition is 0.0000 eV/atom. Its space group is No. 11.

---

The following is a PBE-GGA calculation of NdYPb after structural relaxation, from Alexandria.

Cell lengths 5.977, 5.977, 5.977 Å; angles 139.12, 139.12, 59.19 degrees
Sites, in units of the cell vectors:
Nd  0.000  0.000  0.000
Y  0.686  0.686  0.000
Pb  0.337  0.337  0.000

Its space group is No. 107.

---

The following is a PBE-GGA calculation of Nd4YPb4 after structural relaxation, from Alexandria.

Cell lengths 9.657, 9.657, 6.548 Å; angles 90.00, 90.00, 90.00 degrees
Sites, in units of the cell vectors:
Nd  0.030  0.669  0.122
Nd  0.169  0.970  0.622
Nd  0.331  0.530  0.622
Nd  0.470  0.831  0.122
Nd  0.530  0.169  0.878
Nd  0.669  0.470  0.378
Nd  0.831  0.030  0.378
Nd  0.970  0.331  0.878
Y  0.250  0.250  0.250
Y  0.750  0.750  0.750
Pb  0.028  0.652  0.615
Pb  0.152  0.972  0.115
Pb  0.348  0.528  0.115
Pb  0.472  0.848  0.615
Pb  0.528  0.152  0.385
Pb  0.652  0.472  0.885
Pb  0.848  0.028  0.885
Pb  0.972  0.348  0.385

Its space group is No. 86.

---

The following is a PBE-GGA calculation of NdYZnPb after structural relaxation, from Alexandria.

Cell lengths 5.331, 5.331, 5.331 Å; angles 60.00, 60.00, 60.00 degrees
Sites, in units of the cell vectors:
Nd  0.000  0.000  0.000
Y  0.500  0.500  0.500
Zn  0.250  0.250  0.250
Pb  0.750  0.750  0.750

Its space group is No. 216.

---

Results for DFT formation energy: -369; -196; -77; -71; -370; -82; -89; -268; -124; -194; 16; -58; -65; -116; -438; -270; -123; -88; -279; -154 (in kJ/mol of formula units, following the order of the records).